Material: InP3
Method: DFT, PBE-GGA
State: optimized geometry

POSCAR file:
```
InP3
1.0
-2.3769 -3.8716 -0.1272
4.0655 -2.4661 -0.9070
1.0893 -0.9105 7.3582
In P
2 6
Direct
0.5571 0.0000 0.0000
0.4429 0.5000 0.5000
0.3199 0.5000 0.0000
0.6801 0.0000 0.5000
0.9539 0.0000 0.7451
0.9539 0.0000 0.2549
0.0461 0.5000 0.2451
0.0461 0.5000 0.7549
```

Values from the calculation:
The space-group type is Pmmn (59). The energy relative to the elements is 23 meV per atom. The total energy is -37.75 eV per cell.